{"formula": "SrZnCoF6", "functional": "PBE with a Hubbard U", "state": "optimized geometry", "cell": [[-0.231, 2.175, -4.961], [3.297, -4.193, 0.971], [-7.679, -6.627, -2.549]], "species": ["Co", "Sr", "F", "F", "F", "F", "F", "F", "F", "F", "F", "Sr", "F", "F", "Co", "Zn", "Zn", "F"], "frac_coords": [[0.333, 0.667, 0.750], [0.000, 0.000, 0.500], [0.638, 0.639, 0.643], [0.639, 0.001, 0.357], [0.362, 0.361, 0.357], [0.361, 0.362, 0.857], [0.638, 0.999, 0.857], [0.361, 0.999, 0.643], [0.362, 0.001, 0.143], [0.639, 0.638, 0.143], [0.999, 0.361, 0.143], [0.000, 0.000, 0.000], [0.999, 0.638, 0.357], [0.001, 0.639, 0.857], [0.667, 0.333, 0.250], [0.667, 0.333, 0.750], [0.333, 0.667, 0.250], [0.001, 0.362, 0.643]], "sg": "P-31c, No. 163", "m_tot_mub_per_fu": 3.00, "energy_ev_per_atom": -4.94, "rho_g_cm3": 4.1}